1.
LaPmDy5Th2, relaxed, DFT GGA-PBE; DOS(E_F) = 1.41 states/eV per atom; calculated total energy = -4.967 eV/atom; space-group type = I4/mcm (140); formation energy = 0.313 eV/atom
1.0
-4.4606 4.4606 7.6573
4.4606 -4.4606 7.6573
4.4606 4.4606 -7.6573
La Pm Dy Th
2 2 10 4
Cartesian
0.0000 0.0000 3.8286
0.0000 0.0000 11.4859
4.4606 0.0000 3.8286
0.0000 4.4606 3.8286
0.0000 0.0000 0.0000
6.2957 1.8350 -2.0743
1.8350 2.6256 -2.0743
6.2957 1.8350 2.0743
1.8350 2.6256 2.0743
0.0000 0.0000 7.6573
2.6256 1.8350 5.5830
-1.8350 2.6256 5.5830
2.6256 1.8350 9.7316
-1.8350 2.6256 9.7316
3.4011 1.0595 0.0000
3.4011 -1.0595 7.6573
1.0595 5.5202 0.0000
1.0595 3.4011 7.6573

***

2.
LaTmTh2S4, relaxed, DFT GGA-PBE; DOS(E_F) = 0.57 states/eV per atom; calculated total energy = -7.011 eV/atom; space-group type = P2/m (10); uncorrected formation energy = -1.9178 eV per atom
1.0
6.9036 0.0000 0.0000
0.0000 4.0028 0.0000
-2.3027 0.0000 6.6648
La Tm Th S
1 1 2 4
Cartesian
0.0000 0.0000 0.0000
3.4518 2.0014 0.0000
-1.1514 2.0014 3.3324
2.3004 0.0000 3.3324
1.2359 2.0014 1.6341
0.0785 0.0000 5.0826
4.5223 0.0000 1.5822
3.3649 2.0014 5.0307

***

3.
BeHAu, relaxed, DFT GGA-PBE; DOS(E_F) = 0.17 states/eV per atom; E above lowest polymorph = 0.047 eV/atom; calculated total energy = -3.386 eV/atom; space-group type = P-1 (2)
1.0
2.9059 0.0000 0.0000
-0.1392 3.2196 0.0000
-1.3322 -1.5878 6.7292
Be H Au
2 2 2
Cartesian
-0.0138 -0.0041 1.0852
1.4483 1.6359 5.6440
0.6717 0.7701 0.0199
0.7628 0.8618 6.7092
0.0578 0.0154 4.4332
1.3767 1.6164 2.2960

***

4.
Ce12Ni3N5, relaxed, DFT GGA-PBE; DOS(E_F) = 2.58 states/eV per atom; calculated total energy = -7.132 eV/atom; space-group type = Ia-3d (230); uncorrected formation energy = -0.6226 eV per atom
1.0
-7.6182 7.6182 7.6182
7.6182 -7.6182 7.6182
7.6182 7.6182 -7.6182
Ce Ni N
48 12 20
Cartesian
2.2616 -0.4910 0.8917
9.1657 4.7008 -4.3001
7.1272 -0.8917 2.2616
11.9183 -1.5475 2.9174
9.8798 0.4910 0.8917
9.1657 -2.9174 4.3001
0.8917 2.2616 -0.4910
10.5356 3.3181 -1.5475
4.7008 4.3001 -1.5475
6.7265 2.2616 0.4910
-0.4910 0.8917 2.2616
4.3001 -1.5475 4.7008
7.1272 6.7265 -2.2616
4.3001 1.5475 2.9174
6.7265 -2.2616 7.1272
4.7008 -4.3001 9.1657
2.9174 4.3001 1.5475
8.5099 5.3566 0.4910
2.2616 7.1272 -0.8917
9.1657 2.9174 3.3181
4.3001 9.1657 -2.9174
7.1272 0.8917 5.3566
1.5475 2.9174 4.3001
2.2616 0.4910 6.7265
5.3566 7.1272 0.8917
6.0707 4.7008 3.3181
0.4910 6.7265 2.2616
3.3181 -1.5475 10.5356
-1.5475 4.7008 4.3001
5.3566 0.4910 8.5099
-0.8917 2.2616 7.1272
4.7008 3.3181 6.0707
2.9174 11.9183 -1.5475
0.8917 9.8798 0.4910
3.3181 6.0707 4.7008
0.4910 0.8917 9.8798
3.3181 9.1657 2.9174
8.1092 6.7265 5.3566
0.8917 5.3566 7.1272
2.9174 3.3181 9.1657
-2.9174 4.3001 9.1657
6.7265 5.3566 8.1092
-1.5475 10.5356 3.3181
-2.2616 7.1272 6.7265
-4.3001 9.1657 4.7008
0.4910 8.5099 5.3566
-1.5475 2.9174 11.9183
5.3566 8.1092 6.7265
3.8091 1.9046 0.0000
7.6182 3.8091 -1.9046
1.9046 0.0000 3.8091
9.5228 0.0000 3.8091
0.0000 3.8091 1.9046
3.8091 -1.9046 7.6182
3.8091 9.5228 0.0000
7.6182 3.8091 5.7137
-1.9046 7.6182 3.8091
5.7137 7.6182 3.8091
0.0000 3.8091 9.5228
3.8091 5.7137 7.6182
0.0000 0.0000 0.0000
3.8091 3.8091 -3.8091
3.8091 -3.8091 3.8091
7.6182 0.0000 0.0000
11.4273 1.9046 0.0000
7.6182 -3.8091 5.7137
5.7137 7.6182 -3.8091
5.7137 0.0000 3.8091
3.8091 5.7137 0.0000
7.6182 3.8091 1.9046
-3.8091 3.8091 3.8091
0.0000 7.6182 0.0000
0.0000 0.0000 7.6182
3.8091 3.8091 3.8091
0.0000 3.8091 5.7137
3.8091 1.9046 7.6182
1.9046 7.6182 3.8091
1.9046 0.0000 11.4273
0.0000 11.4273 1.9046
-3.8091 5.7137 7.6182

***

5.
SrPd2Pb2, relaxed, DFT GGA-PBE; DOS(E_F) = 0.31 states/eV per atom; calculated total energy = -4.255 eV/atom; space-group type = P4/mbm (127); formation energy = -0.359 eV/atom
1.0
8.1921 0.0000 0.0000
0.0000 8.1921 0.0000
0.0000 0.0000 3.6143
Sr Pd Pb
2 4 4
Cartesian
0.0000 0.0000 0.0000
4.0960 4.0960 0.0000
1.0552 3.0408 0.0000
3.0408 7.1368 0.0000
5.1513 1.0552 0.0000
7.1368 5.1513 0.0000
1.2777 5.3737 1.8071
2.8184 1.2777 1.8071
5.3737 6.9144 1.8071
6.9144 2.8184 1.8071

***

6.
Ac5Sb4Se, relaxed, DFT GGA-PBE; DOS(E_F) = 0.25 states/eV per atom; E above lowest polymorph = 0.010 eV/atom; calculated total energy = -5.403 eV/atom; space-group type = I4/mmm (139); uncorrected formation energy = -1.3514 eV per atom
1.0
-2.3726 2.3726 16.7500
2.3726 -2.3726 16.7500
2.3726 2.3726 -16.7500
Ac Sb Se
5 4 1
Cartesian
0.0000 0.0000 0.0000
0.0000 0.0000 6.7066
0.0000 0.0000 13.4457
0.0000 0.0000 20.0543
0.0000 0.0000 26.7935
0.0000 0.0000 3.2845
0.0000 0.0000 10.0938
0.0000 0.0000 23.4062
0.0000 0.0000 30.2155
0.0000 0.0000 16.7500